Record 1
# NaTaAuSe2S PBE optimized geometry
data_NaTaAuSe2S
_symmetry_space_group_name_H-M 'P 1'
_symmetry_Int_Tables_number 1
_cell_length_a 7.321
_cell_length_b 7.321
_cell_length_c 9.870
_cell_angle_alpha 90.00
_cell_angle_beta 90.00
_cell_angle_gamma 151.26
loop_
_symmetry_equiv_pos_as_xyz
'x,y,z'
loop_
_atom_site_label
_atom_site_type_symbol
_atom_site_fract_x
_atom_site_fract_y
_atom_site_fract_z
_atom_site_occupancy
Au1 Au 0.061 0.939 0.250 1
Au2 Au 0.939 0.061 0.750 1
Na1 Na 0.749 0.251 0.250 1
Na2 Na 0.251 0.749 0.750 1
S1 S 0.428 0.572 0.250 1
S2 S 0.572 0.428 0.750 1
Se1 Se 0.136 0.864 0.020 1
Se2 Se 0.136 0.864 0.480 1
Se3 Se 0.864 0.136 0.520 1
Se4 Se 0.864 0.136 0.980 1
Ta1 Ta 0.500 0.500 0.000 1
Ta2 Ta 0.500 0.500 0.500 1
# Final energy in eV/atom: -5.1118
# Magnetization in μB per formula unit: 0.29



Record 2
# NaTcAuSeS2 PBE optimized geometry
data_NaTcAuSeS2
_symmetry_space_group_name_H-M 'P 1'
_symmetry_Int_Tables_number 1
_cell_length_a 7.709
_cell_length_b 7.709
_cell_length_c 9.935
_cell_angle_alpha 90.00
_cell_angle_beta 90.00
_cell_angle_gamma 153.65
loop_
_symmetry_equiv_pos_as_xyz
'x,y,z'
loop_
_atom_site_label
_atom_site_type_symbol
_atom_site_fract_x
_atom_site_fract_y
_atom_site_fract_z
_atom_site_occupancy
Au1 Au 0.630 0.370 0.250 1
Au2 Au 0.370 0.630 0.750 1
Na1 Na 0.291 0.709 0.250 1
Na2 Na 0.709 0.291 0.750 1
S1 S 0.614 0.386 0.018 1
S2 S 0.614 0.386 0.482 1
S3 S 0.386 0.614 0.518 1
S4 S 0.386 0.614 0.982 1
Se1 Se 0.950 0.050 0.250 1
Se2 Se 0.050 0.950 0.750 1
Tc1 Tc 0.000 0.000 0.000 1
Tc2 Tc 0.000 0.000 0.500 1
# Final energy in eV/atom: -4.7601
# Magnetization in μB per formula unit: 2.39



Record 3
# NaZrAuSe2S PBE optimized geometry
data_NaZrAuSe2S
_symmetry_space_group_name_H-M 'P 1'
_symmetry_Int_Tables_number 1
_cell_length_a 7.136
_cell_length_b 7.136
_cell_length_c 10.185
_cell_angle_alpha 90.00
_cell_angle_beta 90.00
_cell_angle_gamma 148.45
loop_
_symmetry_equiv_pos_as_xyz
'x,y,z'
loop_
_atom_site_label
_atom_site_type_symbol
_atom_site_fract_x
_atom_site_fract_y
_atom_site_fract_z
_atom_site_occupancy
Au1 Au 0.449 0.551 0.250 1
Au2 Au 0.551 0.449 0.750 1
Na1 Na 0.749 0.251 0.250 1
Na2 Na 0.251 0.749 0.750 1
S1 S 0.072 0.928 0.250 1
S2 S 0.928 0.072 0.750 1
Se1 Se 0.360 0.640 0.031 1
Se2 Se 0.360 0.640 0.469 1
Se3 Se 0.640 0.360 0.531 1
Se4 Se 0.640 0.360 0.969 1
Zr1 Zr 0.000 0.000 0.000 1
Zr2 Zr 0.000 0.000 0.500 1
# Final energy in eV/atom: -4.9826
# Magnetization in μB per formula unit: 0.01